Record 1
ZrTaBeRe: relaxed, PBE.

POSCAR file:
```
ZrTaBeRe
1.0
-3.5142 -2.7763 0.6332
-3.7242 1.5040 2.0800
-3.8150 0.6080 -2.3525
Zr Ta Be Re
1 1 1 1
Direct
0.0000 0.0000 0.0000 Zr
0.5000 0.5000 0.5000 Ta
0.7500 0.7500 0.7500 Be
0.2500 0.2500 0.2500 Re
```

Final energy in eV for the cell shown: -36.8

---

Record 2
MgFeNiBi: relaxed, PBE.

POSCAR file:
```
MgFeNiBi
1.0
0.0000 3.1469 3.1469
3.1469 0.0000 3.1469
3.1469 3.1469 0.0000
Fe Mg Bi Ni
1 1 1 1
Direct
0.7500 0.7500 0.7500 Fe
0.5000 0.5000 0.5000 Mg
0.0000 0.0000 0.0000 Bi
0.2500 0.2500 0.2500 Ni
```

Final energy in eV for the cell shown: -18.6

---

Record 3
RbNiPb: relaxed, PBE.

POSCAR file:
```
RbNiPb
1.0
-0.9996 -1.4983 4.7087
-4.7449 -1.0146 1.3687
-1.4049 -4.7600 0.8860
Rb Ni Pb
1 1 1
Direct
0.7500 0.7500 0.7500 Rb
0.0000 0.0000 0.0000 Ni
0.2500 0.2500 0.2500 Pb
```

Final energy in eV for the cell shown: -8.5